A.
First-principles (PBE) data for a relaxed Nd4Sm3Tm crystal, as listed in the Alexandria database. Values from VASP.

Structure (Quantum ESPRESSO input):
```
&SYSTEM
  ibrav = 0, nat = 8, ntyp = 3
/
ATOMIC_SPECIES
Nd 144.24 Nd.upf
Sm 150.36 Sm.upf
Tm 168.93 Tm.upf
CELL_PARAMETERS angstrom
11.840 -1.760 0.000
11.840 1.760 0.000
-2.008 0.000 6.613
ATOMIC_POSITIONS crystal
Nd 0.123 0.123 0.363
Nd 0.259 0.259 0.761
Nd 0.741 0.741 0.239
Nd 0.877 0.877 0.637
Sm 0.000 0.000 0.500
Sm 0.123 0.123 0.883
Sm 0.877 0.877 0.117
Tm 0.500 0.500 0.000
```

V ... 276 Å³/cell

***

B.
First-principles (PBE) data for a relaxed Nd4Sm3Tm crystal, as listed in the Alexandria database. Values from VASP.

Structure (Quantum ESPRESSO input):
```
&SYSTEM
  ibrav = 0, nat = 16, ntyp = 3
/
ATOMIC_SPECIES
Nd 144.24 Nd.upf
Sm 150.36 Sm.upf
Tm 168.93 Tm.upf
CELL_PARAMETERS angstrom
11.737 0.000 0.000
0.000 7.362 0.000
0.000 0.000 6.360
ATOMIC_POSITIONS crystal
Nd 0.000 0.126 0.000
Nd 0.000 0.874 0.494
Nd 0.247 0.872 0.831
Nd 0.253 0.128 0.331
Nd 0.500 0.126 0.994
Nd 0.500 0.874 0.500
Nd 0.747 0.128 0.331
Nd 0.753 0.872 0.831
Sm 0.000 0.376 0.497
Sm 0.250 0.377 0.829
Sm 0.250 0.623 0.329
Sm 0.500 0.624 0.997
Sm 0.750 0.377 0.829
Sm 0.750 0.623 0.329
Tm 0.000 0.622 0.996
Tm 0.500 0.378 0.496
```

V ... 550 Å³/cell

***

Stability check: which of them is most stable? B.

***

A.
First-principles (PBE) data for a relaxed Nd7SmTm4 crystal, as listed in the Alexandria database. Values from VASP.

Structure (Quantum ESPRESSO input):
```
&SYSTEM
  ibrav = 0, nat = 12, ntyp = 3
/
ATOMIC_SPECIES
Nd 144.24 Nd.upf
Sm 150.36 Sm.upf
Tm 168.93 Tm.upf
CELL_PARAMETERS angstrom
6.320 0.000 0.000
0.003 7.286 0.000
2.102 0.003 8.719
ATOMIC_POSITIONS crystal
Nd 0.000 0.000 0.000
Nd 0.223 0.500 0.335
Nd 0.282 0.751 0.663
Nd 0.500 0.246 0.998
Nd 0.500 0.754 0.002
Nd 0.718 0.249 0.337
Nd 0.777 0.500 0.665
Sm 0.000 0.500 0.000
Tm 0.218 0.000 0.336
Tm 0.277 0.245 0.666
Tm 0.723 0.755 0.334
Tm 0.782 0.000 0.664
```

V ... 402 Å³/cell

***

B.
First-principles (PBE) data for a relaxed Nd7SmTm4 crystal, as listed in the Alexandria database. Values from VASP.

Structure (Quantum ESPRESSO input):
```
&SYSTEM
  ibrav = 0, nat = 12, ntyp = 3
/
ATOMIC_SPECIES
Nd 144.24 Nd.upf
Sm 150.36 Sm.upf
Tm 168.93 Tm.upf
CELL_PARAMETERS angstrom
8.068 -3.001 0.000
8.068 3.001 0.000
-4.366 0.000 8.441
ATOMIC_POSITIONS crystal
Nd 0.000 0.000 0.000
Nd 0.282 0.282 0.752
Nd 0.285 0.285 0.111
Nd 0.412 0.412 0.545
Nd 0.588 0.588 0.455
Nd 0.715 0.715 0.889
Nd 0.718 0.718 0.248
Sm 0.500 0.500 0.000
Tm 0.068 0.068 0.700
Tm 0.167 0.167 0.373
Tm 0.833 0.833 0.627
Tm 0.932 0.932 0.300
```

V ... 409 Å³/cell

***

Stability check: which of them is most stable? A.

***

A.
First-principles (PBE) data for a relaxed Nd2Sm4Tm crystal, as listed in the Alexandria database. Values from VASP.

Structure (Quantum ESPRESSO input):
```
&SYSTEM
  ibrav = 0, nat = 14, ntyp = 3
/
ATOMIC_SPECIES
Nd 144.24 Nd.upf
Sm 150.36 Sm.upf
Tm 168.93 Tm.upf
CELL_PARAMETERS angstrom
2.689 -5.730 0.000
2.689 5.730 0.000
0.000 0.000 15.571
ATOMIC_POSITIONS crystal
Nd 0.105 0.895 0.844
Nd 0.395 0.605 0.344
Nd 0.605 0.395 0.656
Nd 0.895 0.105 0.156
Sm 0.103 0.897 0.306
Sm 0.205 0.795 0.070
Sm 0.295 0.705 0.570
Sm 0.397 0.603 0.806
Sm 0.603 0.397 0.194
Sm 0.705 0.295 0.430
Sm 0.795 0.205 0.930
Sm 0.897 0.103 0.694
Tm 0.000 0.000 0.500
Tm 0.500 0.500 0.000
```

V ... 480 Å³/cell

***

B.
First-principles (PBE) data for a relaxed Nd2Sm4Tm crystal, as listed in the Alexandria database. Values from VASP.

Structure (Quantum ESPRESSO input):
```
&SYSTEM
  ibrav = 0, nat = 14, ntyp = 3
/
ATOMIC_SPECIES
Nd 144.24 Nd.upf
Sm 150.36 Sm.upf
Tm 168.93 Tm.upf
CELL_PARAMETERS angstrom
6.209 0.000 0.000
0.000 6.680 0.000
-2.768 0.000 11.371
ATOMIC_POSITIONS crystal
Nd 0.105 0.250 0.493
Nd 0.213 0.250 0.076
Nd 0.787 0.750 0.924
Nd 0.895 0.750 0.507
Sm 0.148 0.010 0.786
Sm 0.148 0.490 0.786
Sm 0.349 0.750 0.051
Sm 0.467 0.750 0.638
Sm 0.533 0.250 0.362
Sm 0.651 0.250 0.949
Sm 0.852 0.510 0.214
Sm 0.852 0.990 0.214
Tm 0.357 0.750 0.339
Tm 0.643 0.250 0.661
```

V ... 472 Å³/cell

***

Stability check: which of them is most stable? B.

***

A.
First-principles (PBE) data for a relaxed Nd12SmTm6 crystal, as listed in the Alexandria database. Values from VASP.

Structure (Quantum ESPRESSO input):
```
&SYSTEM
  ibrav = 0, nat = 19, ntyp = 3
/
ATOMIC_SPECIES
Nd 144.24 Nd.upf
Sm 150.36 Sm.upf
Tm 168.93 Tm.upf
CELL_PARAMETERS angstrom
6.063 3.501 5.104
-6.063 3.501 5.104
0.000 -7.001 5.104
ATOMIC_POSITIONS crystal
Nd 0.018 0.364 0.195
Nd 0.195 0.018 0.364
Nd 0.218 0.567 0.464
Nd 0.364 0.195 0.018
Nd 0.433 0.536 0.782
Nd 0.464 0.218 0.567
Nd 0.536 0.782 0.433
Nd 0.567 0.464 0.218
Nd 0.636 0.805 0.982
Nd 0.782 0.433 0.536
Nd 0.805 0.982 0.636
Nd 0.982 0.636 0.805
Sm 0.000 0.000 0.000
Tm 0.100 0.258 0.703
Tm 0.258 0.703 0.100
Tm 0.297 0.900 0.742
Tm 0.703 0.100 0.258
Tm 0.742 0.297 0.900
Tm 0.900 0.742 0.297
```

V ... 650 Å³/cell

***

B.
First-principles (PBE) data for a relaxed Nd12SmTm6 crystal, as listed in the Alexandria database. Values from VASP.

Structure (Quantum ESPRESSO input):
```
&SYSTEM
  ibrav = 0, nat = 19, ntyp = 3
/
ATOMIC_SPECIES
Nd 144.24 Nd.upf
Sm 150.36 Sm.upf
Tm 168.93 Tm.upf
CELL_PARAMETERS angstrom
7.414 4.280 3.496
-7.414 4.280 3.496
0.000 -8.561 3.496
ATOMIC_POSITIONS crystal
Nd 0.137 0.829 0.279
Nd 0.171 0.721 0.863
Nd 0.194 0.578 0.481
Nd 0.279 0.137 0.829
Nd 0.422 0.519 0.806
Nd 0.481 0.194 0.578
Nd 0.519 0.806 0.422
Nd 0.578 0.481 0.194
Nd 0.721 0.863 0.171
Nd 0.806 0.422 0.519
Nd 0.829 0.279 0.137
Nd 0.863 0.171 0.721
Sm 0.000 0.000 0.000
Tm 0.074 0.189 0.459
Tm 0.189 0.459 0.074
Tm 0.459 0.074 0.189
Tm 0.541 0.926 0.811
Tm 0.811 0.541 0.926
Tm 0.926 0.811 0.541
```

V ... 666 Å³/cell

***

Stability check: which of them is most stable? A.

***

A.
First-principles (PBE) data for a relaxed Nd4SmTm2 crystal, as listed in the Alexandria database. Values from VASP.

Structure (Quantum ESPRESSO input):
```
&SYSTEM
  ibrav = 0, nat = 14, ntyp = 3
/
ATOMIC_SPECIES
Nd 144.24 Nd.upf
Sm 150.36 Sm.upf
Tm 168.93 Tm.upf
CELL_PARAMETERS angstrom
-3.444 5.738 6.065
3.444 -5.738 6.065
3.444 5.738 -6.065
ATOMIC_POSITIONS crystal
Nd 0.151 0.149 0.002
Nd 0.240 0.212 0.471
Nd 0.240 0.769 0.029
Nd 0.352 0.851 0.502
Nd 0.648 0.149 0.498
Nd 0.760 0.231 0.971
Nd 0.760 0.788 0.529
Nd 0.849 0.851 0.998
Sm 0.500 0.000 0.000
Sm 0.500 0.500 0.500
Tm 0.000 0.500 0.500
Tm 0.031 0.281 0.750
Tm 0.500 0.500 0.000
Tm 0.969 0.719 0.250
```

V ... 479 Å³/cell

***

B.
First-principles (PBE) data for a relaxed Nd4SmTm2 crystal, as listed in the Alexandria database. Values from VASP.

Structure (Quantum ESPRESSO input):
```
&SYSTEM
  ibrav = 0, nat = 14, ntyp = 3
/
ATOMIC_SPECIES
Nd 144.24 Nd.upf
Sm 150.36 Sm.upf
Tm 168.93 Tm.upf
CELL_PARAMETERS angstrom
0.000 12.168 3.237
6.009 0.000 3.237
6.009 12.168 0.000
ATOMIC_POSITIONS crystal
Nd 0.146 0.300 0.067
Nd 0.183 0.762 0.104
Nd 0.300 0.146 0.488
Nd 0.378 0.622 0.479
Nd 0.622 0.378 0.521
Nd 0.729 0.771 0.628
Nd 0.762 0.183 0.950
Nd 0.771 0.729 0.872
Sm 0.009 0.009 0.991
Sm 0.259 0.259 0.241
Tm 0.206 0.690 0.361
Tm 0.507 0.889 0.560
Tm 0.690 0.206 0.743
Tm 0.889 0.507 0.044
```

V ... 473 Å³/cell

***

Stability check: which of them is most stable? B.

***

A.
First-principles (PBE) data for a relaxed Nd3Sm5Tm3 crystal, as listed in the Alexandria database. Values from VASP.

Structure (Quantum ESPRESSO input):
```
&SYSTEM
  ibrav = 0, nat = 11, ntyp = 3
/
ATOMIC_SPECIES
Nd 144.24 Nd.upf
Sm 150.36 Sm.upf
Tm 168.93 Tm.upf
CELL_PARAMETERS angstrom
10.749 0.000 0.000
0.000 3.593 0.000
-5.346 0.000 9.746
ATOMIC_POSITIONS crystal
Nd 0.000 0.000 0.000
Nd 0.250 0.500 0.515
Nd 0.537 0.000 0.075
Sm 0.213 0.500 0.846
Sm 0.321 0.500 0.212
Sm 0.540 0.000 0.536
Sm 0.637 0.500 0.854
Sm 0.891 0.500 0.217
Tm 0.685 0.500 0.370
Tm 0.852 0.500 0.704
Tm 0.988 0.000 0.534
```

V ... 376 Å³/cell

***

B.
First-principles (PBE) data for a relaxed Nd3Sm5Tm3 crystal, as listed in the Alexandria database. Values from VASP.

Structure (Quantum ESPRESSO input):
```
&SYSTEM
  ibrav = 0, nat = 11, ntyp = 3
/
ATOMIC_SPECIES
Nd 144.24 Nd.upf
Sm 150.36 Sm.upf
Tm 168.93 Tm.upf
CELL_PARAMETERS angstrom
9.720 0.000 0.000
-4.860 8.418 0.000
0.000 0.000 5.590
ATOMIC_POSITIONS crystal
Nd 0.000 0.431 0.000
Nd 0.431 0.000 0.000
Nd 0.569 0.569 0.000
Sm 0.000 0.271 0.500
Sm 0.271 0.000 0.500
Sm 0.333 0.667 0.500
Sm 0.667 0.333 0.500
Sm 0.729 0.729 0.500
Tm 0.000 0.631 0.500
Tm 0.369 0.369 0.500
Tm 0.631 0.000 0.500
```

V ... 457 Å³/cell

***

Stability check: which of them is most stable? A.

***

A.
First-principles (PBE) data for a relaxed Nd5Sm2Tm crystal, as listed in the Alexandria database. Values from VASP.

Structure (Quantum ESPRESSO input):
```
&SYSTEM
  ibrav = 0, nat = 32, ntyp = 3
/
ATOMIC_SPECIES
Nd 144.24 Nd.upf
Sm 150.36 Sm.upf
Tm 168.93 Tm.upf
CELL_PARAMETERS angstrom
12.087 0.000 0.000
0.000 10.204 0.000
-0.360 0.000 8.972
ATOMIC_POSITIONS crystal
Nd 0.001 0.249 0.251
Nd 0.001 0.251 0.751
Nd 0.233 0.676 0.451
Nd 0.233 0.824 0.951
Nd 0.234 0.175 0.951
Nd 0.234 0.325 0.451
Nd 0.415 0.662 0.147
Nd 0.415 0.838 0.647
Nd 0.416 0.160 0.647
Nd 0.416 0.340 0.147
Nd 0.584 0.660 0.853
Nd 0.584 0.840 0.353
Nd 0.585 0.162 0.353
Nd 0.585 0.338 0.853
Nd 0.766 0.675 0.549
Nd 0.766 0.825 0.049
Nd 0.767 0.176 0.049
Nd 0.767 0.324 0.549
Nd 0.999 0.749 0.249
Nd 0.999 0.751 0.749
Sm 0.147 0.001 0.593
Sm 0.147 0.499 0.093
Sm 0.294 0.001 0.285
Sm 0.294 0.499 0.785
Sm 0.706 0.501 0.215
Sm 0.706 0.999 0.715
Sm 0.853 0.501 0.907
Sm 0.853 0.999 0.407
Tm 0.000 0.000 0.000
Tm 0.000 0.500 0.500
Tm 0.500 0.000 0.000
Tm 0.500 0.500 0.500
```

V ... 1107 Å³/cell

***

B.
First-principles (PBE) data for a relaxed Nd5Sm2Tm crystal, as listed in the Alexandria database. Values from VASP.

Structure (Quantum ESPRESSO input):
```
&SYSTEM
  ibrav = 0, nat = 16, ntyp = 3
/
ATOMIC_SPECIES
Nd 144.24 Nd.upf
Sm 150.36 Sm.upf
Tm 168.93 Tm.upf
CELL_PARAMETERS angstrom
7.280 0.000 0.000
0.000 14.595 0.000
0.000 0.000 5.148
ATOMIC_POSITIONS crystal
Nd 0.000 0.000 0.000
Nd 0.001 0.252 0.000
Nd 0.249 0.624 0.500
Nd 0.251 0.124 0.500
Nd 0.499 0.752 0.000
Nd 0.500 0.500 0.000
Nd 0.501 0.248 0.000
Nd 0.749 0.876 0.500
Nd 0.751 0.376 0.500
Nd 0.999 0.748 0.000
Sm 0.250 0.376 0.500
Sm 0.250 0.876 0.500
Sm 0.750 0.124 0.500
Sm 0.750 0.624 0.500
Tm 0.000 0.500 0.000
Tm 0.500 0.000 0.000
```

V ... 547 Å³/cell

***

Stability check: which of them is most stable? B.

***

A.
First-principles (PBE) data for a relaxed Nd3SmTm7 crystal, as listed in the Alexandria database. Values from VASP.

Structure (Quantum ESPRESSO input):
```
&SYSTEM
  ibrav = 0, nat = 11, ntyp = 3
/
ATOMIC_SPECIES
Nd 144.24 Nd.upf
Sm 150.36 Sm.upf
Tm 168.93 Tm.upf
CELL_PARAMETERS angstrom
7.021 0.000 0.000
-3.510 6.080 0.000
0.000 0.000 8.654
ATOMIC_POSITIONS crystal
Nd 0.001 0.500 0.000
Nd 0.500 0.500 0.000
Nd 0.500 0.999 0.000
Sm 0.667 0.333 0.340
Tm 0.167 0.335 0.341
Tm 0.167 0.833 0.341
Tm 0.333 0.667 0.662
Tm 0.334 0.167 0.663
Tm 0.665 0.833 0.341
Tm 0.833 0.167 0.663
Tm 0.833 0.666 0.663
```

V ... 369 Å³/cell

***

B.
First-principles (PBE) data for a relaxed Nd3SmTm7 crystal, as listed in the Alexandria database. Values from VASP.

Structure (Quantum ESPRESSO input):
```
&SYSTEM
  ibrav = 0, nat = 11, ntyp = 3
/
ATOMIC_SPECIES
Nd 144.24 Nd.upf
Sm 150.36 Sm.upf
Tm 168.93 Tm.upf
CELL_PARAMETERS angstrom
6.956 0.000 0.000
0.000 5.488 0.000
-3.436 0.000 9.371
ATOMIC_POSITIONS crystal
Nd 0.000 0.000 0.000
Nd 0.283 0.500 0.498
Nd 0.717 0.500 0.502
Sm 0.500 0.000 0.000
Tm 0.000 0.000 0.500
Tm 0.146 0.500 0.789
Tm 0.320 0.500 0.139
Tm 0.419 0.000 0.330
Tm 0.581 0.000 0.670
Tm 0.680 0.500 0.861
Tm 0.854 0.500 0.211
```

V ... 358 Å³/cell

***

Stability check: which of them is most stable? B.

***

A.
First-principles (PBE) data for a relaxed Nd8Sm2Tm crystal, as listed in the Alexandria database. Values from VASP.

Structure (Quantum ESPRESSO input):
```
&SYSTEM
  ibrav = 0, nat = 11, ntyp = 3
/
ATOMIC_SPECIES
Nd 144.24 Nd.upf
Sm 150.36 Sm.upf
Tm 168.93 Tm.upf
CELL_PARAMETERS angstrom
8.400 -3.434 0.000
8.400 3.434 0.000
-1.300 0.000 6.677
ATOMIC_POSITIONS crystal
Nd 0.093 0.093 0.916
Nd 0.151 0.677 0.598
Nd 0.257 0.257 0.684
Nd 0.323 0.849 0.402
Nd 0.677 0.151 0.598
Nd 0.743 0.743 0.316
Nd 0.849 0.323 0.402
Nd 0.907 0.907 0.084
Sm 0.306 0.306 0.195
Sm 0.694 0.694 0.805
Tm 0.500 0.500 0.000
```

V ... 385 Å³/cell

***

B.
First-principles (PBE) data for a relaxed Nd8Sm2Tm crystal, as listed in the Alexandria database. Values from VASP.

Structure (Quantum ESPRESSO input):
```
&SYSTEM
  ibrav = 0, nat = 11, ntyp = 3
/
ATOMIC_SPECIES
Nd 144.24 Nd.upf
Sm 150.36 Sm.upf
Tm 168.93 Tm.upf
CELL_PARAMETERS angstrom
9.307 -2.585 0.000
9.307 2.585 0.000
-2.148 0.000 7.883
ATOMIC_POSITIONS crystal
Nd 0.046 0.046 0.229
Nd 0.136 0.136 0.682
Nd 0.319 0.319 0.590
Nd 0.409 0.409 0.048
Nd 0.591 0.591 0.952
Nd 0.681 0.681 0.410
Nd 0.864 0.864 0.318
Nd 0.954 0.954 0.771
Sm 0.227 0.227 0.136
Sm 0.773 0.773 0.864
Tm 0.500 0.500 0.500
```

V ... 379 Å³/cell

***

Stability check: which of them is most stable? B.